DFT (PBE) results for a relaxed Sm3AlP2Pt9 crystal.

Properties
space group	P-3m1, No. 164
formation energy	-778	meV per atom
V	20.46	A^3/atom

```
Sm3AlP2Pt9
1.0
6.3553 0.0000 0.0000
-3.1776 5.5038 0.0000
0.0000 0.0000 8.7748
Sm Al P Pt
3 1 2 9
direct
0.0000 0.0000 0.0000
0.3333 0.6667 0.6916
0.6667 0.3333 0.3084
0.0000 0.0000 0.5000
0.3333 0.6667 0.1812
0.6667 0.3333 0.8188
0.0000 0.5000 0.0000
0.1454 0.2909 0.2813
0.1454 0.8546 0.2813
0.2909 0.1454 0.7187
0.5000 0.0000 0.0000
0.5000 0.5000 0.0000
0.7091 0.8546 0.2813
0.8546 0.1454 0.7187
0.8546 0.7091 0.7187
```